(1)
Computed, not measured: a relaxed CaTlZnAu crystal at the PBE level of DFT.

Lattice parameters (Å, degrees): 5.056 5.056 5.056 60.00 60.00 60.00
Atoms (fractional coordinates):
Ca 0.000 0.000 0.000
Tl 0.500 0.500 0.500
Zn 0.750 0.750 0.750
Au 0.250 0.250 0.250

As for the total magnetic moment: 0.0 μB/f.u. Its space group is F-43m (216). As for the final energy: -0.1878 Ry per atom.

(2)
Computed, not measured: a relaxed CaRe2Ir crystal at the PBE level of DFT.

Lattice parameters (Å, degrees): 2.794 4.916 4.928 90.00 95.72 90.00
Atoms (fractional coordinates):
Ca 0.000 0.000 0.000
Re 0.319 0.500 0.747
Re 0.681 0.500 0.253
Ir 0.500 0.000 0.500

As for the total magnetic moment: 0.0 μB/f.u. Its space group is P2/m (10). As for the final energy: -0.6208 Ry per atom. Its energy above the most stable polymorph in this dataset is 1.020 eV per formula unit.

(3)
Computed, not measured: a relaxed Li2PbCl crystal at the PBE level of DFT.

Lattice parameters (Å, degrees): 6.355 6.355 6.355 115.74 115.74 97.55
Atoms (fractional coordinates):
Li 0.046 0.125 0.421
Li 0.375 0.954 0.079
Li 0.704 0.625 0.579
Li 0.875 0.296 0.921
Pb 0.250 0.750 0.500
Pb 0.500 0.500 0.000
Cl 0.000 0.000 0.000
Cl 0.750 0.250 0.500

As for the total magnetic moment: 0.0 μB/f.u. Its space group is I-42d (122). As for the final energy: -0.2284 Ry per atom. Its energy above the most stable polymorph in this dataset is 0.672 eV per formula unit. Its uncorrected formation energy is -73.5 kJ/mol of atoms.

(4)
Computed, not measured: a relaxed ZrTl2 crystal at the PBE level of DFT.

Lattice parameters (Å, degrees): 5.896 8.303 3.247 90.00 90.00 90.00
Atoms (fractional coordinates):
Zr 0.000 0.000 0.000
Zr 0.500 0.500 0.500
Tl 0.024 0.317 0.500
Tl 0.476 0.817 0.000
Tl 0.524 0.183 0.000
Tl 0.976 0.683 0.500

As for the total magnetic moment: 0.0 μB/f.u. Its space group is Pnnm (58). As for the final energy: -0.3027 Ry per atom.

(5)
Computed, not measured: a relaxed RbNaNbSb2 crystal at the PBE level of DFT.

Lattice parameters (Å, degrees): 5.425 5.425 6.020 90.00 90.00 90.00
Atoms (fractional coordinates):
Rb 0.000 0.000 0.000
Na 0.500 0.500 0.000
Nb 0.500 0.500 0.500
Sb 0.000 0.500 0.500
Sb 0.500 0.000 0.500

As for the total magnetic moment: 1.2 μB/f.u. Its space group is P4/mmm (123). As for the final energy: -0.2968 Ry per atom. Its uncorrected formation energy is 7.9 kJ/mol of atoms.

(6)
Computed, not measured: a relaxed Nd5SmZn3 crystal at the PBE level of DFT.

Lattice parameters (Å, degrees): 9.110 9.110 7.001 90.00 90.00 120.00
Atoms (fractional coordinates):
Nd 0.000 0.334 0.250
Nd 0.000 0.666 0.750
Nd 0.333 0.667 0.000
Nd 0.333 0.667 0.500
Nd 0.334 0.000 0.250
Nd 0.334 0.334 0.750
Nd 0.666 0.000 0.750
Nd 0.666 0.666 0.250
Nd 0.667 0.333 0.000
Nd 0.667 0.333 0.500
Sm 0.000 0.000 0.000
Sm 0.000 0.000 0.500
Zn 0.000 0.331 0.750
Zn 0.000 0.669 0.250
Zn 0.331 0.000 0.750
Zn 0.331 0.331 0.250
Zn 0.669 0.000 0.250
Zn 0.669 0.669 0.750

As for the total magnetic moment: 0.0 μB/f.u. Its space group is P6_3/mcm (193). As for the final energy: -0.2744 Ry per atom.

(7)
Computed, not measured: a relaxed NaCaI2 crystal at the PBE level of DFT.

Lattice parameters (Å, degrees): 8.763 8.763 8.763 130.42 130.42 72.73
Atoms (fractional coordinates):
Na 0.000 0.000 0.000
Na 0.750 0.250 0.500
Ca 0.250 0.750 0.500
Ca 0.500 0.500 0.000
I 0.128 0.625 0.003
I 0.375 0.378 0.503
I 0.622 0.125 0.997
I 0.875 0.872 0.497

As for the total magnetic moment: 0.8 μB/f.u. Its space group is I-42d (122). As for the final energy: -0.1871 Ry per atom. Its energy above the most stable polymorph in this dataset is 0.674 eV per formula unit. Its uncorrected formation energy is -90.7 kJ/mol of atoms.

(8)
Computed, not measured: a relaxed Pm8ZnHg2 crystal at the PBE level of DFT.

Lattice parameters (Å, degrees): 9.701 9.701 7.034 106.19 106.19 31.81
Atoms (fractional coordinates):
Pm 0.018 0.018 0.275
Pm 0.199 0.199 0.814
Pm 0.338 0.338 0.520
Pm 0.409 0.409 0.040
Pm 0.591 0.591 0.960
Pm 0.662 0.662 0.480
Pm 0.801 0.801 0.186
Pm 0.982 0.982 0.725
Zn 0.500 0.500 0.500
Hg 0.179 0.179 0.230
Hg 0.821 0.821 0.770

As for the total magnetic moment: 0.0 μB/f.u. Its space group is C2/m (12). As for the final energy: -0.2808 Ry per atom.

- total magnetic moment of number 5 (RbNaNbSb2)?
  1.2 μB/f.u.